The following is a PBE+U calculation of a geometry-optimized Ba3MnB2O6 structure, from Alexandria via LeMat-Bulk.

Lattice parameters (Å, degrees): 5.5028 5.5028 8.0109 90.00 90.00 120.00
Fractional positions:
1 O 0.6274 0.8137 0.3284
2 O 0.8137 0.1863 0.6716
3 O 0.8137 0.6274 0.6716
4 O 0.3726 0.1863 0.6716
5 Ba 0.3333 0.6667 0.7023
6 B 0.6667 0.3333 0.6791
7 B 0.3333 0.6667 0.3209
8 Mn 0.0000 0.0000 0.5000
9 O 0.1863 0.3726 0.3284
10 O 0.1863 0.8137 0.3284
11 Ba 0.6667 0.3333 0.2977
12 Ba 0.0000 0.0000 0.0000

Results
D(E_F): 2.50 states/eV/f.u.
Total DFT energy (no corrections): -6.958 eV per atom
V: 210.1 Å³/f.u.